Crystalline Nd2TmZn at its relaxed geometry. Source: Alexandria via LeMat-Bulk, functional GGA-PBE.

POSCAR file:
```
Nd2TmZn
1.0
-2.561 2.561 8.721
2.561 -2.561 8.721
2.561 2.561 -8.721
Nd Tm Zn
4 2 2
Direct
0.000 0.500 0.500
0.145 0.145 0.000
0.500 0.000 0.500
0.855 0.855 0.000
0.350 0.350 0.000
0.650 0.650 0.000
0.250 0.750 0.500
0.750 0.250 0.500
```

Properties
Formation enthalpy at 0 K, eV per atom: -0.16
Polymorph energy (0 for the lowest one), meV per atom: 0.0
M_tot, μB per cell: 0.0